1.
{
  "formula": "Tb15Pm4Sm",
  "functional": "PBE-GGA",
  "state": "optimized geometry",
  "final_energy_ev_per_atom": -4.643,
  "formation_enthalpy_0k_mev_per_atom": 16,
  "lattice_angstrom": [[5.0690, 0.0000, 0.0000], [0.0000, 5.0690, 0.0000], [0.0000, 0.0000, 25.2874]],
  "species": ["Tb", "Tb", "Tb", "Sm", "Tb", "Tb", "Tb", "Tb", "Tb", "Pm", "Tb", "Pm", "Tb", "Tb", "Pm", "Tb", "Tb", "Tb", "Pm", "Tb"],
  "fractional_positions": [[0.5000, 0.0000, 0.5000], [0.5000, 0.5000, 0.1999], [0.5000, 0.5000, 0.4001], [0.0000, 0.0000, 0.0000], [0.5000, 0.0000, 0.9002], [0.0000, 0.5000, 0.9002], [0.5000, 0.0000, 0.6999], [0.5000, 0.5000, 0.0000], [0.0000, 0.5000, 0.0998], [0.0000, 0.0000, 0.2000], [0.0000, 0.5000, 0.6999], [0.0000, 0.0000, 0.8000], [0.5000, 0.0000, 0.0998], [0.5000, 0.5000, 0.8001], [0.0000, 0.0000, 0.4000], [0.0000, 0.5000, 0.5000], [0.5000, 0.5000, 0.5999], [0.0000, 0.5000, 0.3001], [0.0000, 0.0000, 0.6000], [0.5000, 0.0000, 0.3001]]
}

---

2.
{
  "formula": "TbPm4Sm6",
  "functional": "PBE-GGA",
  "state": "optimized geometry",
  "de_polymorph_ev_per_atom": 0.000,
  "final_energy_ev_per_atom": -4.434,
  "formation_enthalpy_0k_mev_per_atom": 288,
  "lattice_angstrom": [[7.5466, -2.9751, -5.5560], [-5.2225, 8.1017, 1.9391], [-1.9178, 2.9751, 9.1729]],
  "species": ["Pm", "Sm", "Sm", "Pm", "Pm", "Tb", "Sm", "Sm", "Sm", "Pm", "Sm"],
  "fractional_positions": [[0.6219, 0.9873, 0.9873], [0.0000, 0.8044, 0.4497], [0.0000, 0.4497, 0.8044], [0.3781, 0.3655, 0.3655], [0.0000, 0.6345, 0.0127], [0.0000, 0.0000, 0.0000], [0.3547, 0.5503, 0.5503], [0.5000, 0.0000, 0.5000], [0.6453, 0.1956, 0.1956], [0.0000, 0.0127, 0.6345], [0.5000, 0.5000, 0.0000]]
}

---

3.
{
  "formula": "Tb12Pm5Sm2",
  "functional": "PBE-GGA",
  "state": "optimized geometry",
  "de_polymorph_ev_per_atom": 0.156,
  "final_energy_ev_per_atom": -4.500,
  "formation_enthalpy_0k_mev_per_atom": 172,
  "lattice_angstrom": [[7.0897, 0.0000, 0.0000], [-3.5448, 8.5233, 3.4355], [0.0000, -0.1733, 10.4395]],
  "species": ["Tb", "Pm", "Tb", "Tb", "Tb", "Sm", "Tb", "Tb", "Tb", "Sm", "Tb", "Pm", "Pm", "Pm", "Tb", "Pm", "Tb", "Tb", "Tb"],
  "fractional_positions": [[0.4059, 0.3179, 0.1307], [0.6794, 0.3587, 0.7883], [0.5027, 0.0053, 0.3262], [0.0881, 0.6821, 0.8693], [0.5837, 0.6727, 0.5223], [0.2760, 0.0000, 0.0000], [0.9110, 0.3273, 0.4777], [0.4163, 0.3273, 0.4777], [0.5941, 0.6821, 0.8693], [0.7240, 0.0000, 0.0000], [0.9119, 0.3179, 0.1307], [0.3206, 0.6413, 0.2117], [0.1885, 0.3770, 0.8153], [0.0000, 0.0000, 0.5000], [0.0890, 0.6727, 0.5223], [0.8115, 0.6230, 0.1847], [0.0259, 0.0518, 0.7536], [0.9741, 0.9482, 0.2464], [0.4973, 0.9947, 0.6738]]
}

---

4.
{
  "formula": "Tb2Pm3Sm",
  "functional": "PBE-GGA",
  "state": "optimized geometry",
  "de_polymorph_ev_per_atom": 0.012,
  "final_energy_ev_per_atom": -4.691,
  "formation_enthalpy_0k_mev_per_atom": 14,
  "lattice_angstrom": [[-4.8505, -5.1520, -1.4813], [4.4917, -4.3409, 0.3900], [0.7800, 1.6347, 9.4022]],
  "species": ["Pm", "Pm", "Sm", "Tb", "Pm", "Tb", "Pm", "Tb", "Sm", "Tb", "Pm", "Pm"],
  "fractional_positions": [[0.0420, 0.0834, 0.3345], [0.6246, 0.2500, 0.0000], [0.8745, 0.7500, 0.0000], [0.5424, 0.0827, 0.3340], [0.7074, 0.4166, 0.6655], [0.4576, 0.9173, 0.6660], [0.3754, 0.7500, 0.0000], [0.7916, 0.5827, 0.3340], [0.1255, 0.2500, 0.0000], [0.2084, 0.4173, 0.6660], [0.9580, 0.9166, 0.6655], [0.2926, 0.5834, 0.3345]]
}

---

5.
{
  "formula": "TbPmSm14",
  "functional": "PBE-GGA",
  "state": "optimized geometry",
  "final_energy_ev_per_atom": -4.716,
  "formation_enthalpy_0k_mev_per_atom": 0,
  "lattice_angstrom": [[-1.5433, -5.1956, -4.8612], [6.2974, -0.1863, 3.6491], [-5.0737, -6.3804, 8.4301]],
  "species": ["Pm", "Sm", "Sm", "Sm", "Sm", "Sm", "Sm", "Tb", "Sm", "Sm", "Sm", "Sm", "Sm", "Sm", "Sm", "Sm"],
  "fractional_positions": [[0.7084, 0.2916, 0.5000], [0.0422, 0.4586, 0.0000], [0.8750, 0.1250, 0.2494], [0.7086, 0.7924, 0.5000], [0.8755, 0.6253, 0.7495], [0.5418, 0.4582, 0.0000], [0.8750, 0.1250, 0.7506], [0.2082, 0.7918, 0.5000], [0.3749, 0.6251, 0.7491], [0.3747, 0.1245, 0.7495], [0.3749, 0.6251, 0.2509], [0.8755, 0.6253, 0.2505], [0.3747, 0.1245, 0.2505], [0.2076, 0.2914, 0.5000], [0.0419, 0.9581, 0.0000], [0.5414, 0.9578, 0.0000]]
}

---

6.
{
  "formula": "Tb12Pm5Sm3",
  "functional": "PBE-GGA",
  "state": "optimized geometry",
  "final_energy_ev_per_atom": -3.646,
  "formation_enthalpy_0k_mev_per_atom": 1028,
  "lattice_angstrom": [[-14.9907, 3.3793, -5.3654], [9.3847, -4.4173, -12.5436], [-0.7134, -12.1650, 10.7904]],
  "species": ["Tb", "Pm", "Tb", "Sm", "Pm", "Tb", "Tb", "Pm", "Tb", "Tb", "Tb", "Tb", "Sm", "Tb", "Tb", "Pm", "Tb", "Pm", "Tb", "Sm", "Pm", "Tb", "Tb", "Sm", "Tb", "Tb", "Tb", "Sm", "Tb", "Pm", "Tb", "Tb", "Tb", "Tb", "Pm", "Pm", "Tb", "Pm", "Tb", "Pm", "Tb", "Sm", "Sm", "Tb", "Tb", "Tb", "Tb", "Tb", "Sm", "Pm", "Tb", "Sm", "Sm", "Tb", "Tb", "Pm", "Tb", "Tb", "Tb", "Tb", "Tb", "Tb", "Tb", "Tb", "Tb", "Pm", "Tb", "Sm", "Tb", "Tb", "Tb", "Sm", "Pm", "Pm", "Pm", "Tb", "Pm", "Pm", "Pm", "Tb"],
  "fractional_positions": [[0.9119, 0.8472, 0.7717], [0.5000, 0.5000, 0.5000], [0.7717, 0.3472, 0.9119], [0.1250, 0.2500, 0.8750], [0.0000, 0.5000, 0.5000], [0.3472, 0.5755, 0.4353], [0.5647, 0.6402, 0.4119], [0.8750, 0.6250, 0.7500], [0.1528, 0.0647, 0.9245], [0.0647, 0.1528, 0.4245], [0.0755, 0.4353, 0.8472], [0.5647, 0.9245, 0.6528], [0.8750, 0.7500, 0.1250], [0.6528, 0.4245, 0.5647], [0.8598, 0.5881, 0.9353], [0.0000, 0.0000, 0.5000], [0.3472, 0.7717, 0.4119], [0.1250, 0.3750, 0.2500], [0.0755, 0.6402, 0.7283], [0.6250, 0.3750, 0.7500], [0.2500, 0.8750, 0.1250], [0.7283, 0.1402, 0.0755], [0.0647, 0.9119, 0.1402], [0.3750, 0.7500, 0.6250], [0.4245, 0.7717, 0.8598], [0.8472, 0.9353, 0.0755], [0.2283, 0.5755, 0.6402], [0.2500, 0.6250, 0.8750], [0.0881, 0.9353, 0.3598], [0.7500, 0.1250, 0.8750], [0.8598, 0.2717, 0.4245], [0.7717, 0.4245, 0.3598], [0.4353, 0.0755, 0.3472], [0.3598, 0.4353, 0.0881], [0.6250, 0.7500, 0.8750], [0.3750, 0.2500, 0.1250], [0.9353, 0.0881, 0.8598], [0.6250, 0.8750, 0.2500], [0.8472, 0.9119, 0.2717], [0.7500, 0.6250, 0.3750], [0.4119, 0.1402, 0.5647], [0.7500, 0.3750, 0.1250], [0.3750, 0.6250, 0.2500], [0.1402, 0.7283, 0.5755], [0.0881, 0.1528, 0.2283], [0.3598, 0.9245, 0.7717], [0.1402, 0.4119, 0.0647], [0.4353, 0.3598, 0.5881], [0.1250, 0.8750, 0.7500], [0.2500, 0.3750, 0.6250], [0.2717, 0.8598, 0.9245], [0.2500, 0.1250, 0.3750], [0.6250, 0.2500, 0.3750], [0.1528, 0.0881, 0.7283], [0.4119, 0.2717, 0.3472], [0.0000, 0.5000, 0.0000], [0.4245, 0.6528, 0.0647], [0.2283, 0.6528, 0.0881], [0.9353, 0.8472, 0.5755], [0.5881, 0.8598, 0.4353], [0.9119, 0.0647, 0.6402], [0.9245, 0.5647, 0.1528], [0.9245, 0.3598, 0.2717], [0.5755, 0.3472, 0.9353], [0.6402, 0.0755, 0.2283], [0.8750, 0.2500, 0.6250], [0.2717, 0.4119, 0.8472], [0.8750, 0.1250, 0.2500], [0.5881, 0.7283, 0.6528], [0.6402, 0.5647, 0.9119], [0.5755, 0.2283, 0.1402], [0.7500, 0.8750, 0.6250], [0.3750, 0.1250, 0.7500], [0.5000, 0.0000, 0.0000], [0.5000, 0.5000, 0.0000], [0.7283, 0.5881, 0.1528], [0.5000, 0.0000, 0.5000], [0.1250, 0.7500, 0.3750], [0.0000, 0.0000, 0.0000], [0.6528, 0.2283, 0.5881]]
}

---

7.
{
  "formula": "Tb3PmSm12",
  "functional": "PBE-GGA",
  "state": "optimized geometry",
  "final_energy_ev_per_atom": -4.689,
  "formation_enthalpy_0k_mev_per_atom": 15,
  "lattice_angstrom": [[5.1133, 0.0000, 0.0000], [0.0000, 5.1133, 0.0000], [0.0000, 0.0000, 20.4401]],
  "species": ["Sm", "Tb", "Sm", "Sm", "Sm", "Tb", "Sm", "Sm", "Sm", "Sm", "Sm", "Sm", "Pm", "Sm", "Tb", "Sm"],
  "fractional_positions": [[0.0000, 0.5000, 0.3753], [0.0000, 0.0000, 0.7493], [0.5000, 0.0000, 0.6247], [0.5000, 0.5000, 0.0000], [0.0000, 0.5000, 0.1260], [0.0000, 0.0000, 0.2507], [0.5000, 0.0000, 0.1260], [0.5000, 0.5000, 0.7491], [0.0000, 0.5000, 0.6247], [0.5000, 0.0000, 0.3753], [0.5000, 0.0000, 0.8740], [0.5000, 0.5000, 0.5000], [0.0000, 0.0000, 0.0000], [0.0000, 0.5000, 0.8740], [0.0000, 0.0000, 0.5000], [0.5000, 0.5000, 0.2509]]
}

---

8.
{
  "formula": "Tb8Pm6Sm",
  "functional": "PBE-GGA",
  "state": "optimized geometry",
  "de_polymorph_ev_per_atom": 0.041,
  "final_energy_ev_per_atom": -4.522,
  "formation_enthalpy_0k_mev_per_atom": 162,
  "lattice_angstrom": [[-0.9377, 2.0980, -5.4139], [8.2361, -4.5652, -3.1957], [-8.7448, -4.7238, -0.3165]],
  "species": ["Tb", "Pm", "Pm", "Tb", "Pm", "Pm", "Tb", "Tb", "Tb", "Tb", "Pm", "Tb", "Sm", "Tb", "Pm"],
  "fractional_positions": [[0.2561, 0.4730, 0.3802], [0.2284, 0.0528, 0.2759], [0.7716, 0.9472, 0.7241], [0.7439, 0.3803, 0.9073], [0.7717, 0.2759, 0.2231], [0.2284, 0.2231, 0.9471], [0.2274, 0.3334, 0.6667], [0.2561, 0.9072, 0.5270], [0.2561, 0.6197, 0.0927], [0.7726, 0.6666, 0.3333], [0.7716, 0.7769, 0.0529], [0.7439, 0.0928, 0.4730], [0.5000, 0.0000, 0.0000], [0.7439, 0.5270, 0.6198], [0.2283, 0.7241, 0.7769]]
}